# 1
First-principles (GGA-PBEsol) data for a relaxed structure of LiInSi2, as listed in Alexandria via LeMat-Bulk.

Unit cell a=3.047 b=3.047 c=7.640 alpha=90.00 beta=90.00 gamma=90.00
Fractional coordinates of all 4 atoms:
Li 0.500 0.500 0.789
In 0.000 0.000 0.495
Si 0.500 0.500 0.199
Si 0.000 0.000 0.018

# 2
First-principles (GGA-PBEsol) data for a relaxed structure of LiIn2Si, as listed in Alexandria via LeMat-Bulk.

Unit cell a=3.286 b=3.286 c=9.006 alpha=79.49 beta=79.49 gamma=60.00
Fractional coordinates of all 4 atoms:
Si 0.500 0.500 0.500
In 0.751 0.751 0.746
Li 0.000 0.000 0.000
In 0.249 0.249 0.254

# 3
First-principles (GGA-PBEsol) data for a relaxed structure of LiInSi2, as listed in Alexandria via LeMat-Bulk.

Unit cell a=2.900 b=4.549 c=5.637 alpha=90.00 beta=101.84 gamma=90.00
Fractional coordinates of all 4 atoms:
Si 0.349 0.000 0.182
Si 0.651 0.000 0.818
Li 0.000 0.500 0.000
In 0.500 0.500 0.500

# 4
First-principles (GGA-PBEsol) data for a relaxed structure of Li3InSi, as listed in Alexandria via LeMat-Bulk.

Unit cell a=4.761 b=4.761 c=4.761 alpha=90.00 beta=90.00 gamma=90.00
Fractional coordinates of all 5 atoms:
Li 0.000 0.500 0.000
In 0.500 0.500 0.500
Li 0.500 0.000 0.000
Li 0.000 0.000 0.500
Si 0.000 0.000 0.000

Looking at energy relative to the elements, uncorrected for the records above, in order, we have 0.10; 0.06; 0.12; 0.10 eV/atom.